# 1
Compound: CdInW2
Source: Alexandria via LeMat-Bulk
Functional: PBE
Structure: optimized geometry

abc: 3.357 4.541 4.761
angles: 90.00 90.00 90.00
Sites, in units of the cell vectors:
Cd 0.000 0.000 0.000
In 0.500 0.500 0.000
W 0.000 0.500 0.500
W 0.500 0.000 0.500

Calculated formation energy, eV/atom: 0.665
ΔE to the lowest computed polymorph, kJ/mol of atoms: 23.2
Fermi-level density of states, states/eV/atom: 0.52
Total moment, μB per formula unit: 0.0

=====

# 2
Compound: DyMgScCd
Source: Alexandria via LeMat-Bulk
Functional: PBE
Structure: optimized geometry

abc: 5.178 5.178 5.178
angles: 60.00 60.00 60.00
Sites, in units of the cell vectors:
Dy 0.000 0.000 0.000
Mg 0.250 0.250 0.250
Sc 0.500 0.500 0.500
Cd 0.750 0.750 0.750

Calculated formation energy, eV/atom: -0.179
Fermi-level density of states, states/eV/atom: 0.99
Total moment, μB per formula unit: 0.0

=====

# 3
Compound: CsRe3Se
Source: Alexandria via LeMat-Bulk
Functional: PBE
Structure: optimized geometry

abc: 4.969 4.969 4.969
angles: 90.00 90.00 90.00
Sites, in units of the cell vectors:
Cs 0.000 0.000 0.000
Re 0.000 0.000 0.500
Re 0.000 0.500 0.000
Re 0.500 0.000 0.000
Se 0.500 0.500 0.500

E_form (uncorrected), meV/atom: 4234
Fermi-level density of states, states/eV/atom: 1.97
Total moment, μB per formula unit: 4.1